1.
# Dy2AgAu, optimized geometry, DFT PBEsol
# Space group: Fm-3m (225)
# Energy of formation from the pure elements (eV/f.u.): -2.41
data_Dy2AgAu
_chemical_formula_sum 'Dy2 Ag1 Au1'
_space_group_name_H-M_alt 'P 1'
_space_group_IT_number 1
_space_group_name_Hall 'P 1'
_cell_length_a 5.013
_cell_length_b 5.013
_cell_length_c 5.013
_cell_angle_alpha 60.00
_cell_angle_beta 60.00
_cell_angle_gamma 60.00
loop_
_atom_site_label
_atom_site_type_symbol
_atom_site_fract_x
_atom_site_fract_y
_atom_site_fract_z
_atom_site_occupancy
Au1 Au 0.000 0.000 0.000 1
Ag1 Ag 0.500 0.500 0.500 1
Dy1 Dy 0.250 0.250 0.250 1
Dy2 Dy 0.750 0.750 0.750 1


2.
# Er2AgAu, optimized geometry, DFT PBEsol
# Space group: Fm-3m (225)
# Energy of formation from the pure elements (eV/f.u.): -2.50
data_Er2AgAu
_chemical_formula_sum 'Er2 Ag1 Au1'
_space_group_name_H-M_alt 'P 1'
_space_group_IT_number 1
_space_group_name_Hall 'P 1'
_cell_length_a 4.972
_cell_length_b 4.972
_cell_length_c 4.972
_cell_angle_alpha 60.00
_cell_angle_beta 60.00
_cell_angle_gamma 60.00
loop_
_atom_site_label
_atom_site_type_symbol
_atom_site_fract_x
_atom_site_fract_y
_atom_site_fract_z
_atom_site_occupancy
Ag1 Ag 0.500 0.500 0.500 1
Er1 Er 0.250 0.250 0.250 1
Au1 Au 0.000 0.000 0.000 1
Er2 Er 0.750 0.750 0.750 1


3.
# Eu2AgAu, optimized geometry, DFT PBEsol
# Space group: Fm-3m (225)
# Energy of formation from the pure elements (eV/f.u.): -2.09
data_Eu2AgAu
_chemical_formula_sum 'Eu2 Ag1 Au1'
_space_group_name_H-M_alt 'P 1'
_space_group_IT_number 1
_space_group_name_Hall 'P 1'
_cell_length_a 5.189
_cell_length_b 5.189
_cell_length_c 5.189
_cell_angle_alpha 60.00
_cell_angle_beta 60.00
_cell_angle_gamma 60.00
loop_
_atom_site_label
_atom_site_type_symbol
_atom_site_fract_x
_atom_site_fract_y
_atom_site_fract_z
_atom_site_occupancy
Ag1 Ag 0.500 0.500 0.500 1
Eu1 Eu 0.750 0.750 0.750 1
Eu2 Eu 0.250 0.250 0.250 1
Au1 Au 0.000 0.000 0.000 1


4.
# AgAuF4, optimized geometry, DFT PBEsol
# E_form (uncorrected) (eV per atom): -1.072
# Space group: I4/mcm (140)
data_AgAuF4
_chemical_formula_sum 'Ag2 Au2 F8'
_space_group_name_H-M_alt 'P 1'
_space_group_IT_number 1
_space_group_name_Hall 'P 1'
_cell_length_a 5.684
_cell_length_b 5.684
_cell_length_c 6.687
_cell_angle_alpha 115.15
_cell_angle_beta 115.15
_cell_angle_gamma 90.00
loop_
_atom_site_label
_atom_site_type_symbol
_atom_site_fract_x
_atom_site_fract_y
_atom_site_fract_z
_atom_site_occupancy
F1 F 0.698 0.544 0.742 1
F2 F 0.456 0.956 0.258 1
F3 F 0.044 0.198 0.742 1
Ag1 Ag 0.750 0.750 0.500 1
F4 F 0.802 0.302 0.258 1
Au1 Au 0.000 0.500 0.000 1
Ag2 Ag 0.250 0.250 0.500 1
Au2 Au 0.500 0.000 0.000 1
F5 F 0.544 0.044 0.742 1
F6 F 0.302 0.456 0.258 1
F7 F 0.198 0.698 0.742 1
F8 F 0.956 0.802 0.258 1


For reference, size of the total moment by record: 0.00; 0.00; 14.31; 0.00 Bohr magnetons per cell.